# CaZr2Ir | Alexandria via LeMat-Bulk | PBE-GGA | optimized geometry
# mass density	8.20	g cm⁻³
# excess energy over the best structure of this formula in the dataset	0.3803	eV/atom
# energy of formation	0.0988	eV per atom
data_CaZr2Ir
_cell_length_a 5.847
_cell_length_b 10.055
_cell_length_c 3.102
_cell_angle_alpha 90.00
_cell_angle_beta 112.89
_cell_angle_gamma 90.00
_space_group_name_H-M_alt 'C 1 2/m 1'
_space_group_IT_number 12
loop_
_space_group_symop_operation_xyz
'x,y,z'
'-x,-y,-z'
'-x,y,-z'
'x,-y,z'
'x+1/2,y+1/2,z'
'-x+1/2,-y+1/2,-z'
'-x+1/2,y+1/2,-z'
'x+1/2,-y+1/2,z'
loop_
_atom_site_label
_atom_site_fract_x
_atom_site_fract_y
_atom_site_fract_z
Ca1 0.000 0.000 0.000
Zr1 0.250 0.250 0.500
Ir1 0.000 0.500 0.000


# Ca3ZrIr | Alexandria via LeMat-Bulk | PBE-GGA | optimized geometry
# mass density	4.11	g cm⁻³
# excess energy over the best structure of this formula in the dataset	0.0000	eV/atom
# energy of formation	0.3925	eV per atom
data_Ca3ZrIr
_cell_length_a 5.463
_cell_length_b 5.463
_cell_length_c 5.463
_cell_angle_alpha 90.00
_cell_angle_beta 90.00
_cell_angle_gamma 90.00
_space_group_name_H-M_alt 'P m -3 m'
_space_group_IT_number 221
_space_group_name_Hall '-P 4 2 3'
loop_
_atom_site_label
_atom_site_fract_x
_atom_site_fract_y
_atom_site_fract_z
Ca1 0.000 0.000 0.500
Zr1 0.500 0.500 0.500
Ir1 0.000 0.000 0.000


# Ca2ZrIr | Alexandria via LeMat-Bulk | PBE-GGA | optimized geometry
# mass density	6.51	g cm⁻³
# excess energy over the best structure of this formula in the dataset	0.6805	eV/atom
# energy of formation	0.4036	eV per atom
data_Ca2ZrIr
_cell_length_a 7.184
_cell_length_b 7.184
_cell_length_c 7.184
_cell_angle_alpha 90.00
_cell_angle_beta 90.00
_cell_angle_gamma 90.00
_space_group_name_H-M_alt 'F m -3 m'
_space_group_IT_number 225
_space_group_name_Hall '-F 4 2 3'
loop_
_atom_site_label
_atom_site_fract_x
_atom_site_fract_y
_atom_site_fract_z
Ca1 0.250 0.250 0.250
Zr1 0.000 0.000 0.000
Ir1 0.000 0.000 0.500


# CaZr2Ir2 | Alexandria via LeMat-Bulk | PBE-GGA | optimized geometry
# mass density	8.40	g cm⁻³
# excess energy over the best structure of this formula in the dataset	0.4881	eV/atom
# energy of formation	-0.2008	eV per atom
data_CaZr2Ir2
_cell_length_a 4.264
_cell_length_b 4.264
_cell_length_c 13.201
_cell_angle_alpha 90.00
_cell_angle_beta 90.00
_cell_angle_gamma 90.00
_space_group_name_H-M_alt 'I 4/m m m'
_space_group_IT_number 139
_space_group_name_Hall '-I 4 2'
loop_
_atom_site_label
_atom_site_fract_x
_atom_site_fract_y
_atom_site_fract_z
Ca1 0.000 0.000 0.000
Zr1 0.000 0.000 0.369
Ir1 0.000 0.500 0.250


# Ca3ZrIr | Alexandria via LeMat-Bulk | PBE-GGA | optimized geometry
# mass density	4.21	g cm⁻³
# excess energy over the best structure of this formula in the dataset	1.1785	eV/atom
# energy of formation	1.5710	eV per atom
data_Ca3ZrIr
_cell_length_a 5.418
_cell_length_b 5.418
_cell_length_c 5.418
_cell_angle_alpha 90.00
_cell_angle_beta 90.00
_cell_angle_gamma 90.00
_space_group_name_H-M_alt 'P m -3 m'
_space_group_IT_number 221
_space_group_name_Hall '-P 4 2 3'
loop_
_atom_site_label
_atom_site_fract_x
_atom_site_fract_y
_atom_site_fract_z
Ca1 0.000 0.000 0.500
Zr1 0.000 0.000 0.000
Ir1 0.500 0.500 0.500


# Ca2ZrIr2 | Alexandria via LeMat-Bulk | PBE-GGA | optimized geometry
# mass density	8.13	g cm⁻³
# energy of formation	-0.4183	eV per atom
data_Ca2ZrIr2
_cell_length_a 6.971
_cell_length_b 6.971
_cell_length_c 4.675
_cell_angle_alpha 90.00
_cell_angle_beta 90.00
_cell_angle_gamma 90.00
_space_group_name_H-M_alt 'P 4/m b m'
_space_group_IT_number 127
_space_group_name_Hall '-P 4 2ab'
loop_
_atom_site_label
_atom_site_fract_x
_atom_site_fract_y
_atom_site_fract_z
Ca1 0.172 0.328 0.000
Zr1 0.000 0.000 0.500
Ir1 0.128 0.628 0.500


# CaZr2Ir | Alexandria via LeMat-Bulk | PBE-GGA | optimized geometry
# mass density	7.46	g cm⁻³
# excess energy over the best structure of this formula in the dataset	0.0000	eV/atom
# energy of formation	-0.2816	eV per atom
data_CaZr2Ir
_cell_length_a 3.348
_cell_length_b 3.348
_cell_length_c 8.236
_cell_angle_alpha 90.00
_cell_angle_beta 90.00
_cell_angle_gamma 90.00
_space_group_name_H-M_alt 'P 4 m m'
_space_group_IT_number 99
loop_
_space_group_symop_operation_xyz
'x,y,z'
'-y,x,z'
'-x,-y,z'
'y,-x,z'
'-x,y,z'
'y,x,z'
'x,-y,z'
'-y,-x,z'
loop_
_atom_site_label
_atom_site_fract_x
_atom_site_fract_y
_atom_site_fract_z
Ca1 0.000 0.000 0.000
Zr1 0.000 0.000 0.410
Zr2 0.500 0.500 0.661
Ir1 0.500 0.500 0.237


# CaZr2Ir2 | Alexandria via LeMat-Bulk | PBE-GGA | optimized geometry
# mass density	9.79	g cm⁻³
# excess energy over the best structure of this formula in the dataset	0.1099	eV/atom
# energy of formation	-0.5791	eV per atom
data_CaZr2Ir2
_cell_length_a 8.045
_cell_length_b 8.045
_cell_length_c 3.182
_cell_angle_alpha 90.00
_cell_angle_beta 90.00
_cell_angle_gamma 90.00
_space_group_name_H-M_alt 'P 4/m b m'
_space_group_IT_number 127
_space_group_name_Hall '-P 4 2ab'
loop_
_atom_site_label
_atom_site_fract_x
_atom_site_fract_y
_atom_site_fract_z
Ca1 0.000 0.000 0.000
Zr1 0.150 0.350 0.500
Ir1 0.141 0.641 0.000


# CaZrIr4 | Alexandria via LeMat-Bulk | PBE-GGA | optimized geometry
# mass density	14.20	g cm⁻³
# energy of formation	-0.5641	eV per atom
data_CaZrIr4
_cell_length_a 7.495
_cell_length_b 7.495
_cell_length_c 7.495
_cell_angle_alpha 90.00
_cell_angle_beta 90.00
_cell_angle_gamma 90.00
_space_group_name_H-M_alt 'F -4 3 m'
_space_group_IT_number 216
_space_group_name_Hall 'F -4 2 3'
loop_
_atom_site_label
_atom_site_fract_x
_atom_site_fract_y
_atom_site_fract_z
Ca1 0.000 0.000 0.000
Zr1 0.250 0.250 0.250
Ir1 0.125 0.125 0.625


# Ca2ZrIr | Alexandria via LeMat-Bulk | PBE-GGA | optimized geometry
# mass density	5.73	g cm⁻³
# excess energy over the best structure of this formula in the dataset	0.0999	eV/atom
# energy of formation	-0.1770	eV per atom
data_Ca2ZrIr
_cell_length_a 3.639
_cell_length_b 5.454
_cell_length_c 10.608
_cell_angle_alpha 90.00
_cell_angle_beta 90.00
_cell_angle_gamma 90.00
_space_group_name_H-M_alt 'I m m 2'
_space_group_IT_number 44
loop_
_space_group_symop_operation_xyz
'x,y,z'
'-x,-y,z'
'-x,y,z'
'x,-y,z'
'x+1/2,y+1/2,z+1/2'
'-x+1/2,-y+1/2,z+1/2'
'-x+1/2,y+1/2,z+1/2'
'x+1/2,-y+1/2,z+1/2'
loop_
_atom_site_label
_atom_site_fract_x
_atom_site_fract_y
_atom_site_fract_z
Ca1 0.000 0.000 0.000
Ca2 0.000 0.500 0.199
Zr1 0.000 0.500 0.808
Ir1 0.000 0.000 0.476


# CaZr2Ir | Alexandria via LeMat-Bulk | PBE-GGA | optimized geometry
# mass density	8.14	g cm⁻³
# excess energy over the best structure of this formula in the dataset	0.3701	eV/atom
# energy of formation	0.0886	eV per atom
data_CaZr2Ir
_cell_length_a 4.165
_cell_length_b 4.165
_cell_length_c 9.760
_cell_angle_alpha 90.00
_cell_angle_beta 90.00
_cell_angle_gamma 90.00
_space_group_name_H-M_alt 'I -4 m 2'
_space_group_IT_number 119
_space_group_name_Hall 'I -4 -2'
loop_
_atom_site_label
_atom_site_fract_x
_atom_site_fract_y
_atom_site_fract_z
Ca1 0.000 0.000 0.000
Zr1 0.000 0.000 0.500
Zr2 0.000 0.500 0.250
Ir1 0.000 0.500 0.750


# Ca2ZrIr | Alexandria via LeMat-Bulk | PBE-GGA | optimized geometry
# mass density	6.79	g cm⁻³
# excess energy over the best structure of this formula in the dataset	0.2785	eV/atom
# energy of formation	0.0016	eV per atom
data_Ca2ZrIr
_cell_length_a 5.014
_cell_length_b 5.014
_cell_length_c 7.079
_cell_angle_alpha 90.00
_cell_angle_beta 90.00
_cell_angle_gamma 90.00
_space_group_name_H-M_alt 'I -4 m 2'
_space_group_IT_number 119
_space_group_name_Hall 'I -4 -2'
loop_
_atom_site_label
_atom_site_fract_x
_atom_site_fract_y
_atom_site_fract_z
Ca1 0.000 0.000 0.000
Ca2 0.000 0.500 0.250
Zr1 0.000 0.500 0.750
Ir1 0.000 0.000 0.500


# CaZrIr | Alexandria via LeMat-Bulk | PBE-GGA | optimized geometry
# mass density	6.39	g cm⁻³
# excess energy over the best structure of this formula in the dataset	0.3576	eV/atom
# energy of formation	-0.2106	eV per atom
data_CaZrIr
_cell_length_a 3.9144
_cell_length_b 3.9144
_cell_length_c 6.3399
_cell_angle_alpha 90.00
_cell_angle_beta 90.00
_cell_angle_gamma 120.00
_space_group_name_H-M_alt 'P 3 m 1'
_space_group_IT_number 156
loop_
_space_group_symop_operation_xyz
'x,y,z'
'-y,x-y,z'
'-x+y,-x,z'
'-y,-x,z'
'-x+y,y,z'
'x,x-y,z'
loop_
_atom_site_label
_atom_site_fract_x
_atom_site_fract_y
_atom_site_fract_z
Ca1 0.0000 0.0000 0.0000
Zr1 0.3333 0.6667 0.4883
Ir1 0.6667 0.3333 0.2932


# Ca2ZrIr | Alexandria via LeMat-Bulk | PBE-GGA | optimized geometry
# mass density	6.51	g cm⁻³
# excess energy over the best structure of this formula in the dataset	0.4458	eV/atom
# energy of formation	0.1689	eV per atom
data_Ca2ZrIr
_cell_length_a 3.291
_cell_length_b 4.880
_cell_length_c 5.866
_cell_angle_alpha 90.00
_cell_angle_beta 100.26
_cell_angle_gamma 90.00
_space_group_name_H-M_alt 'P 1 2/m 1'
_space_group_IT_number 10
loop_
_space_group_symop_operation_xyz
'x,y,z'
'-x,-y,-z'
'-x,y,-z'
'x,-y,z'
loop_
_atom_site_label
_atom_site_fract_x
_atom_site_fract_y
_atom_site_fract_z
Ca1 0.088 0.000 0.271
Zr1 0.500 0.500 0.000
Ir1 0.500 0.500 0.500


# CaZr2Ir2 | Alexandria via LeMat-Bulk | PBE-GGA | optimized geometry
# mass density	8.85	g cm⁻³
# excess energy over the best structure of this formula in the dataset	0.0000	eV/atom
# energy of formation	-0.6890	eV per atom
data_CaZr2Ir2
_cell_length_a 4.522
_cell_length_b 4.522
_cell_length_c 11.143
_cell_angle_alpha 90.00
_cell_angle_beta 90.00
_cell_angle_gamma 90.00
_space_group_name_H-M_alt 'I 4/m m m'
_space_group_IT_number 139
_space_group_name_Hall '-I 4 2'
loop_
_atom_site_label
_atom_site_fract_x
_atom_site_fract_y
_atom_site_fract_z
Ca1 0.000 0.000 0.000
Zr1 0.000 0.500 0.250
Ir1 0.000 0.000 0.384